Record 1
! AlCrCd3 | Alexandria via LeMat-Bulk | PBE-GGA | relaxed; values from VASP
! Calculated formation energy ... 0.763 eV/atom
! Relative energy among the computed polymorphs ... 0.0 kJ per mole of atoms
! D(E_F) ... 1.73 states/eV/cell
! Space-group type ... No. 221
&SYSTEM
  ibrav = 0, nat = 5, ntyp = 3
/
ATOMIC_SPECIES
Cr 52.00 Cr.upf
Al 26.98 Al.upf
Cd 112.41 Cd.upf
CELL_PARAMETERS angstrom
-4.5938 -1.7404 -1.5685
-0.2694 -3.0370 4.1589
-2.3274 3.7868 2.6146
ATOMIC_POSITIONS angstrom
Cr -3.5953 -0.4953 2.6025
Al 0.0000 0.0000 0.0000
Cd -0.1347 -1.5185 2.0795
Cd -1.1637 1.8934 1.3073
Cd -2.2969 -0.8702 -0.7842



Record 2
! Sc2CdSe4 | Alexandria via LeMat-Bulk | PBE-GGA | relaxed; values from VASP
! DFT total energy ... -74.573 eV per cell
! Space-group type ... No. 227
&SYSTEM
  ibrav = 0, nat = 14, ntyp = 3
/
ATOMIC_SPECIES
Sc 44.96 Sc.upf
Cd 112.41 Cd.upf
Se 78.96 Se.upf
CELL_PARAMETERS angstrom
8.0243 0.0000 0.0000
4.0121 6.9492 0.0000
4.0121 2.3164 6.5518
ATOMIC_POSITIONS angstrom
Sc 6.0182 5.7910 4.0949
Sc 8.0243 2.3164 4.0949
Sc 8.0243 4.6328 0.8190
Sc 10.0304 5.7910 4.0949
Cd 4.0121 2.3164 1.6380
Cd 0.0000 0.0000 0.0000
Se 9.8657 3.5697 2.5242
Se 8.0243 6.7591 2.5242
Se 8.0243 4.6328 5.5311
Se 6.1829 3.5697 2.5242
Se 10.1951 8.0124 5.6656
Se 12.0364 4.8230 5.6656
Se 12.0364 6.9492 2.6586
Se 13.8778 8.0124 5.6656



Record 3
! SmTmTe3 | Alexandria via LeMat-Bulk | PBE-GGA | relaxed; values from VASP
! Relative energy among the computed polymorphs ... 0.0 kJ per mole of atoms
! D(E_F) ... 0.29 states/eV/cell
! Space-group type ... No. 63
&SYSTEM
  ibrav = 0, nat = 10, ntyp = 3
/
ATOMIC_SPECIES
Sm 150.36 Sm.upf
Tm 168.93 Tm.upf
Te 127.60 Te.upf
CELL_PARAMETERS angstrom
-2.1801 -2.9953 -2.1168
1.1731 -2.6244 6.8057
-9.2136 4.3878 3.2802
ATOMIC_POSITIONS angstrom
Sm -2.2621 -0.9536 3.6791
Sm -7.9585 -0.2783 4.2899
Tm -4.6068 2.1939 1.6401
Tm 0.0000 0.0000 0.0000
Te -6.8952 2.5439 3.5016
Te -3.3254 -3.7758 4.4675
Te -5.1251 -0.4444 5.9072
Te -5.0955 -0.7875 2.0619
Te -1.6427 -2.4319 0.8327
Te -8.5779 1.2000 7.1364



no.,total moment (μB per formula unit)
1,5.1
2,0.0
3,0.0